A relaxed TbAg2Au6 crystal. Source: Alexandria, functional GGA-PBE.

Results
- ρ: 14832 kg/m³
- Crystal system: monoclinic
- Formation enthalpy at 0 K: -0.270 eV/atom
- Energy: -3.6031 eV/atom

Cell: 5.140 8.448 8.448 Å, 74.49 82.37 82.37°
Sites, in units of the cell vectors:
Tb 0.250 0.137 0.863
Tb 0.750 0.863 0.137
Ag 0.408 0.534 0.798
Ag 0.092 0.202 0.466
Ag 0.592 0.466 0.202
Ag 0.908 0.798 0.534
Au 0.462 0.674 0.438
Au 0.038 0.562 0.326
Au 0.538 0.326 0.562
Au 0.962 0.438 0.674
Au 0.642 0.105 0.352
Au 0.858 0.648 0.895
Au 0.358 0.895 0.648
Au 0.142 0.352 0.105
Au 0.301 0.766 0.006
Au 0.199 0.994 0.234
Au 0.699 0.234 0.994
Au 0.801 0.006 0.766

A relaxed Tb4Ag3Au crystal. Source: Alexandria, functional GGA-PBE.

Results
- ρ: 9648 kg/m³
- Crystal system: orthorhombic
- Formation enthalpy at 0 K: -0.430 eV/atom
- Energy: -4.2242 eV/atom
- Energy above the lowest structure with this stoichiometry: 21 meV/atom

Cell: 3.730 4.818 11.076 Å, 90.00 90.00 90.00°
Sites, in units of the cell vectors:
Tb 0.500 0.500 0.355
Tb 0.000 0.500 0.863
Tb 0.000 0.000 0.140
Tb 0.500 0.000 0.642
Ag 0.000 0.500 0.581
Ag 0.000 0.000 0.419
Ag 0.500 0.000 0.917
Au 0.500 0.500 0.083

A relaxed Tb3Ag2Au4 crystal. Source: Alexandria, functional GGA-PBE.

Results
- ρ: 12351 kg/m³
- Crystal system: monoclinic
- Formation enthalpy at 0 K: -0.590 eV/atom
- Energy: -4.2238 eV/atom

Cell: 5.328 8.857 8.857 Å, 76.46 80.95 80.95°
Sites, in units of the cell vectors:
Tb 0.059 0.966 0.716
Tb 0.441 0.284 0.034
Tb 0.941 0.034 0.284
Tb 0.559 0.716 0.966
Tb 0.250 0.379 0.621
Tb 0.750 0.621 0.379
Ag 0.623 0.849 0.596
Ag 0.877 0.404 0.151
Ag 0.377 0.151 0.404
Ag 0.123 0.596 0.849
Au 0.509 0.068 0.804
Au 0.991 0.196 0.932
Au 0.491 0.932 0.196
Au 0.009 0.804 0.068
Au 0.178 0.736 0.496
Au 0.322 0.504 0.264
Au 0.822 0.264 0.504
Au 0.678 0.496 0.736

A relaxed Tb4AgAu3 crystal. Source: Alexandria, functional GGA-PBE.

Results
- ρ: 11321 kg/m³
- Crystal system: orthorhombic
- Formation enthalpy at 0 K: -0.727 eV/atom
- Energy: -4.6278 eV/atom
- Energy above the lowest structure with this stoichiometry: 0 meV/atom

Cell: 3.730 4.732 11.088 Å, 90.00 90.00 90.00°
Sites, in units of the cell vectors:
Tb 0.500 0.500 0.364
Tb 0.000 0.500 0.858
Tb 0.000 0.000 0.140
Tb 0.500 0.000 0.639
Ag 0.500 0.500 0.084
Au 0.000 0.500 0.588
Au 0.000 0.000 0.412
Au 0.500 0.000 0.915

A relaxed TbAgAu3 crystal. Source: Alexandria, functional GGA-PBE.

Results
- ρ: 12749 kg/m³
- Crystal system: monoclinic
- Formation enthalpy at 0 K: -0.351 eV/atom
- Energy: -3.8140 eV/atom

Cell: 4.905 4.934 9.797 Å, 104.59 102.74 90.00°
Sites, in units of the cell vectors:
Tb 0.074 0.381 0.762
Tb 0.926 0.619 0.238
Ag 0.357 0.122 0.243
Ag 0.643 0.878 0.757
Au 0.779 0.035 0.069
Au 0.221 0.965 0.931
Au 0.508 0.706 0.412
Au 0.492 0.294 0.588
Au 0.082 0.791 0.583
Au 0.918 0.209 0.417

A relaxed Tb4TlAg2Au crystal. Source: Alexandria, functional GGA-PBE.

Results
- ρ: 10425 kg/m³
- Crystal system: trigonal
- Formation enthalpy at 0 K: -0.463 eV/atom
- Energy: -4.1967 eV/atom

Cell: 5.206 5.206 9.018 Å, 73.23 73.23 60.00°
Sites, in units of the cell vectors:
Tb 0.380 0.380 0.859
Tb 0.870 0.870 0.389
Tb 0.130 0.130 0.611
Tb 0.620 0.620 0.141
Tl 0.000 0.000 0.000
Ag 0.745 0.745 0.765
Ag 0.255 0.255 0.235
Au 0.500 0.500 0.500